Material: LaPm2DyMg
Method: DFT, PBE
State: optimized geometry

Results
- ΔE_f (meV/atom) = 16.8
- Fermi-level density of states (states/eV per cell) = 14.54
- uncorrected energy (eV/atom) = -4.108
- total moment (μB per formula unit) = 0.000

Geometry as CIF:
```
data_LaPm2DyMg
_cell_length_a 6.285
_cell_length_b 5.701
_cell_length_c 9.500
_cell_angle_alpha 90.00
_cell_angle_beta 108.70
_cell_angle_gamma 90.00
_space_group_name_H-M_alt 'P 1 21/m 1'
_space_group_IT_number 11
loop_
_space_group_symop_operation_xyz
'x,y,z'
'-x,-y,-z'
'-x,y+1/2,-z'
'x,-y+1/2,z'
loop_
_atom_site_label
_atom_site_type_symbol
_atom_site_fract_x
_atom_site_fract_y
_atom_site_fract_z
_atom_site_occupancy
La1 La 0.035 0.250 0.390 1
Pm1 Pm 0.374 0.750 0.391 1
Pm2 Pm 0.453 0.250 0.198 1
Dy1 Dy 0.157 0.750 0.997 1
Mg1 Mg 0.230 0.250 0.811 1
```

=====

Material: La2PmDy2Mg5
Method: DFT, PBE
State: optimized geometry

Results
- ΔE_f (meV/atom) = 1.1
- Fermi-level density of states (states/eV per cell) = 13.98
- uncorrected energy (eV/atom) = -3.177
- total moment (μB per formula unit) = 0.000

Geometry as CIF:
```
data_La2PmDy2Mg5
_cell_length_a 10.691
_cell_length_b 10.691
_cell_length_c 5.157
_cell_angle_alpha 90.00
_cell_angle_beta 90.00
_cell_angle_gamma 90.00
_space_group_name_H-M_alt 'P 4/m b m'
_space_group_IT_number 127
_space_group_name_Hall '-P 4 2ab'
loop_
_atom_site_label
_atom_site_type_symbol
_atom_site_fract_x
_atom_site_fract_y
_atom_site_fract_z
_atom_site_occupancy
La1 La 0.176 0.324 0.000 1
Pm1 Pm 0.000 0.000 0.000 1
Dy1 Dy 0.121 0.621 0.000 1
Mg1 Mg 0.000 0.500 0.500 1
Mg2 Mg 0.074 0.801 0.500 1
```

=====

Material: La4PrDy2Mg
Method: DFT, PBE
State: optimized geometry

Results
- ΔE_f (meV/atom) = 289.0
- Fermi-level density of states (states/eV per cell) = 54.72
- uncorrected energy (eV/atom) = -4.122
- total moment (μB per formula unit) = 0.000

Geometry as CIF:
```
data_La4PrDy2Mg
_cell_length_a 6.903
_cell_length_b 11.948
_cell_length_c 13.423
_cell_angle_alpha 90.00
_cell_angle_beta 90.00
_cell_angle_gamma 90.00
_space_group_name_H-M_alt 'I m m a'
_space_group_IT_number 74
_space_group_name_Hall '-I 2b 2'
loop_
_atom_site_label
_atom_site_type_symbol
_atom_site_fract_x
_atom_site_fract_y
_atom_site_fract_z
_atom_site_occupancy
La1 La 0.000 0.008 0.249 1
La2 La 0.245 0.250 0.006 1
Pr1 Pr 0.000 0.000 0.000 1
Dy1 Dy 0.000 0.000 0.500 1
Dy2 Dy 0.250 0.250 0.750 1
Mg1 Mg 0.250 0.250 0.250 1
```

=====

Material: La2PrDyMg
Method: DFT, PBE
State: optimized geometry

Results
- ΔE_f (meV/atom) = 12.6
- Fermi-level density of states (states/eV per cell) = 16.05
- uncorrected energy (eV/atom) = -4.154
- total moment (μB per formula unit) = 0.000

Geometry as CIF:
```
data_La2PrDyMg
_cell_length_a 6.800
_cell_length_b 5.686
_cell_length_c 8.891
_cell_angle_alpha 90.00
_cell_angle_beta 103.04
_cell_angle_gamma 90.00
_space_group_name_H-M_alt 'P 1 21/m 1'
_space_group_IT_number 11
loop_
_space_group_symop_operation_xyz
'x,y,z'
'-x,-y,-z'
'-x,y+1/2,-z'
'x,-y+1/2,z'
loop_
_atom_site_label
_atom_site_type_symbol
_atom_site_fract_x
_atom_site_fract_y
_atom_site_fract_z
_atom_site_occupancy
La1 La 0.045 0.250 0.356 1
La2 La 0.118 0.750 0.071 1
Pr1 Pr 0.464 0.250 0.149 1
Dy1 Dy 0.379 0.750 0.443 1
Mg1 Mg 0.263 0.250 0.746 1
```

=====

Material: La6Pr2Dy3Mg
Method: DFT, PBE
State: optimized geometry

Results
- ΔE_f (meV/atom) = 7.0
- Fermi-level density of states (states/eV per cell) = 28.93
- uncorrected energy (eV/atom) = -4.537
- total moment (μB per formula unit) = 0.000

Geometry as CIF:
```
data_La6Pr2Dy3Mg
_cell_length_a 6.332
_cell_length_b 10.970
_cell_length_c 12.008
_cell_angle_alpha 90.00
_cell_angle_beta 100.14
_cell_angle_gamma 90.00
_space_group_name_H-M_alt 'C 1 2/m 1'
_space_group_IT_number 12
loop_
_space_group_symop_operation_xyz
'x,y,z'
'-x,-y,-z'
'-x,y,-z'
'x,-y,z'
'x+1/2,y+1/2,z'
'-x+1/2,-y+1/2,-z'
'-x+1/2,y+1/2,-z'
'x+1/2,-y+1/2,z'
loop_
_atom_site_label
_atom_site_type_symbol
_atom_site_fract_x
_atom_site_fract_y
_atom_site_fract_z
_atom_site_occupancy
La1 La 0.246 0.000 0.247 1
La2 La 0.249 0.165 0.753 1
Pr1 Pr 0.000 0.333 0.500 1
Dy1 Dy 0.000 0.166 0.000 1
Dy2 Dy 0.000 0.500 0.000 1
Mg1 Mg 0.000 0.000 0.500 1
```

=====

Material: La2PrDy2Mg5
Method: DFT, PBE
State: optimized geometry

Results
- ΔE_f (meV/atom) = 0.3
- Fermi-level density of states (states/eV per cell) = 14.18
- uncorrected energy (eV/atom) = -3.181
- total moment (μB per formula unit) = 0.000

Geometry as CIF:
```
data_La2PrDy2Mg5
_cell_length_a 10.718
_cell_length_b 10.718
_cell_length_c 5.182
_cell_angle_alpha 90.00
_cell_angle_beta 90.00
_cell_angle_gamma 90.00
_space_group_name_H-M_alt 'P 4/m b m'
_space_group_IT_number 127
_space_group_name_Hall '-P 4 2ab'
loop_
_atom_site_label
_atom_site_type_symbol
_atom_site_fract_x
_atom_site_fract_y
_atom_site_fract_z
_atom_site_occupancy
La1 La 0.176 0.324 0.000 1
Pr1 Pr 0.000 0.000 0.000 1
Dy1 Dy 0.120 0.620 0.000 1
Mg1 Mg 0.000 0.500 0.500 1
Mg2 Mg 0.074 0.800 0.500 1
```

=====

Material: La5Pr2DyMg
Method: DFT, PBE
State: optimized geometry

Results
- ΔE_f (meV/atom) = 72.5
- Fermi-level density of states (states/eV per cell) = 51.94
- uncorrected energy (eV/atom) = -4.416
- total moment (μB per formula unit) = 0.000

Geometry as CIF:
```
data_La5Pr2DyMg
_cell_length_a 5.671
_cell_length_b 20.305
_cell_length_c 11.098
_cell_angle_alpha 90.00
_cell_angle_beta 90.00
_cell_angle_gamma 90.00
_space_group_name_H-M_alt 'C m c 21'
_space_group_IT_number 36
loop_
_space_group_symop_operation_xyz
'x,y,z'
'-x,-y,z+1/2'
'-x,y,z'
'x,-y,z+1/2'
'x+1/2,y+1/2,z'
'-x+1/2,-y+1/2,z+1/2'
'-x+1/2,y+1/2,z'
'x+1/2,-y+1/2,z+1/2'
loop_
_atom_site_label
_atom_site_type_symbol
_atom_site_fract_x
_atom_site_fract_y
_atom_site_fract_z
_atom_site_occupancy
La1 La 0.000 0.000 0.000 1
La2 La 0.000 0.123 0.250 1
La3 La 0.000 0.213 0.950 1
La4 La 0.000 0.214 0.552 1
La5 La 0.000 0.488 0.250 1
Pr1 Pr 0.000 0.383 0.961 1
Pr2 Pr 0.000 0.384 0.539 1
Dy1 Dy 0.000 0.307 0.251 1
Mg1 Mg 0.000 0.095 0.750 1
```

=====

Material: La2Pr2DyMg5
Method: DFT, PBE
State: optimized geometry

Results
- ΔE_f (meV/atom) = 4.5
- Fermi-level density of states (states/eV per cell) = 13.76
- uncorrected energy (eV/atom) = -3.194
- total moment (μB per formula unit) = 0.000

Geometry as CIF:
```
data_La2Pr2DyMg5
_cell_length_a 10.770
_cell_length_b 10.770
_cell_length_c 5.177
_cell_angle_alpha 90.00
_cell_angle_beta 90.00
_cell_angle_gamma 90.00
_space_group_name_H-M_alt 'P 4/m b m'
_space_group_IT_number 127
_space_group_name_Hall '-P 4 2ab'
loop_
_atom_site_label
_atom_site_type_symbol
_atom_site_fract_x
_atom_site_fract_y
_atom_site_fract_z
_atom_site_occupancy
La1 La 0.174 0.326 0.000 1
Pr1 Pr 0.125 0.625 0.000 1
Dy1 Dy 0.000 0.000 0.000 1
Mg1 Mg 0.000 0.500 0.500 1
Mg2 Mg 0.073 0.808 0.500 1
```

=====

Material: La4Pr2DyMg
Method: DFT, PBE
State: optimized geometry

Results
- ΔE_f (meV/atom) = -2.2
- Fermi-level density of states (states/eV per cell) = 11.32
- uncorrected energy (eV/atom) = -4.435
- total moment (μB per formula unit) = 0.000

Geometry as CIF:
```
data_La4Pr2DyMg
_cell_length_a 5.162
_cell_length_b 5.162
_cell_length_c 10.326
_cell_angle_alpha 90.00
_cell_angle_beta 90.00
_cell_angle_gamma 90.00
_space_group_name_H-M_alt 'P 4/m m m'
_space_group_IT_number 123
_space_group_name_Hall '-P 4 2'
loop_
_atom_site_label
_atom_site_type_symbol
_atom_site_fract_x
_atom_site_fract_y
_atom_site_fract_z
_atom_site_occupancy
La1 La 0.000 0.500 0.247 1
Pr1 Pr 0.000 0.000 0.000 1
Pr2 Pr 0.500 0.500 0.500 1
Dy1 Dy 0.000 0.000 0.500 1
Mg1 Mg 0.500 0.500 0.000 1
```

=====

Material: La2Pr6Dy3Mg
Method: DFT, PBE
State: optimized geometry

Results
- ΔE_f (meV/atom) = 7.4
- Fermi-level density of states (states/eV per cell) = 28.95
- uncorrected energy (eV/atom) = -4.487
- total moment (μB per formula unit) = 0.000

Geometry as CIF:
```
data_La2Pr6Dy3Mg
_cell_length_a 6.306
_cell_length_b 10.933
_cell_length_c 12.029
_cell_angle_alpha 90.00
_cell_angle_beta 100.19
_cell_angle_gamma 90.00
_space_group_name_H-M_alt 'C 1 2/m 1'
_space_group_IT_number 12
loop_
_space_group_symop_operation_xyz
'x,y,z'
'-x,-y,-z'
'-x,y,-z'
'x,-y,z'
'x+1/2,y+1/2,z'
'-x+1/2,-y+1/2,-z'
'-x+1/2,y+1/2,-z'
'x+1/2,-y+1/2,z'
loop_
_atom_site_label
_atom_site_type_symbol
_atom_site_fract_x
_atom_site_fract_y
_atom_site_fract_z
_atom_site_occupancy
La1 La 0.000 0.167 0.000 1
Pr1 Pr 0.246 0.500 0.746 1
Pr2 Pr 0.248 0.335 0.253 1
Dy1 Dy 0.000 0.000 0.500 1
Dy2 Dy 0.000 0.334 0.500 1
Mg1 Mg 0.000 0.500 0.000 1
```